(1)
# TbErScIn

TbErScIn after structural relaxation (PBE-GGA, the Alexandria database).

CIF file:
```
data_TbErScIn
_space_group_name_H-M_alt 'F -4 3 m'
_space_group_IT_number 216
_space_group_name_Hall 'F -4 2 3'
_cell_length_a 7.541
_cell_length_b 7.541
_cell_length_c 7.541
_cell_angle_alpha 90.00
_cell_angle_beta 90.00
_cell_angle_gamma 90.00
loop_
_atom_site_label
_atom_site_type_symbol
_atom_site_fract_x
_atom_site_fract_y
_atom_site_fract_z
Tb1 Tb 0.000 0.000 0.000
Er1 Er 0.000 0.000 0.500
Sc1 Sc 0.250 0.250 0.250
In1 In 0.250 0.250 0.750
```

Results
Distance to the lowest polymorph of the same formula = 104.0 meV per atom
Formation energy = -0.16 eV per atom
Uncorrected energy = -4.721 eV/atom
Total magnetic moment = 0.89 μB per formula unit



(2)
# ErScInTc

ErScInTc after structural relaxation (PBE-GGA, the Alexandria database).

CIF file:
```
data_ErScInTc
_space_group_name_H-M_alt 'F -4 3 m'
_space_group_IT_number 216
_space_group_name_Hall 'F -4 2 3'
_cell_length_a 6.946
_cell_length_b 6.946
_cell_length_c 6.946
_cell_angle_alpha 90.00
_cell_angle_beta 90.00
_cell_angle_gamma 90.00
loop_
_atom_site_label
_atom_site_type_symbol
_atom_site_fract_x
_atom_site_fract_y
_atom_site_fract_z
Er1 Er 0.000 0.000 0.000
Sc1 Sc 0.000 0.000 0.500
In1 In 0.250 0.250 0.750
Tc1 Tc 0.250 0.250 0.250
```

Results
Formation energy = -0.22 eV per atom
Uncorrected energy = -6.221 eV/atom
Total magnetic moment = 0.00 μB per formula unit



What did the first record say?
# TbErScIn

TbErScIn after structural relaxation (PBE-GGA, the Alexandria database).

CIF file:
```
data_TbErScIn
_space_group_name_H-M_alt 'F -4 3 m'
_space_group_IT_number 216
_space_group_name_Hall 'F -4 2 3'
_cell_length_a 7.541
_cell_length_b 7.541
_cell_length_c 7.541
_cell_angle_alpha 90.00
_cell_angle_beta 90.00
_cell_angle_gamma 90.00
loop_
_atom_site_label
_atom_site_type_symbol
_atom_site_fract_x
_atom_site_fract_y
_atom_site_fract_z
Tb1 Tb 0.000 0.000 0.000
Er1 Er 0.000 0.000 0.500
Sc1 Sc 0.250 0.250 0.250
In1 In 0.250 0.250 0.750
```

Results
Distance to the lowest polymorph of the same formula = 104.0 meV per atom
Formation energy = -0.16 eV per atom
Uncorrected energy = -4.721 eV/atom
Total magnetic moment = 0.89 μB per formula unit



Question: Which of these has the highest formation energy?
Answer: TbErScIn